Density functional theory data (PBE) for a relaxed Cu3RuPt12 crystal.

- Formation energy: -8.0 kJ per mole of atoms
- Space group: P4/mmm
- Magnetization: 0.00 μB/cell
- D(E_F): 19.12 states/eV/f.u.
- Crystal system: tetragonal

a = 3.9102 Å, b = 3.9102 Å, c = 15.6535 Å
α = 90.00°, β = 90.00°, γ = 90.00°
Last column: nearest neighbours and their distance in Å.
Atoms (fractional coordinates):
Cu1 0.0000 0.0000 0.0000  12 Pt 2.76
Cu2 0.0000 0.0000 0.2491  12 Pt 2.76-2.77
Cu3 0.0000 0.0000 0.7509  12 Pt 2.76-2.77
Ru1 0.0000 0.0000 0.5000  12 Pt 2.76-2.77
Pt1 0.0000 0.5000 0.1245  8 Pt 2.75-2.76, 4 Cu 2.76
Pt2 0.0000 0.5000 0.3746  8 Pt 2.76-2.78, 2 Ru 2.77, 2 Cu 2.77
Pt3 0.0000 0.5000 0.6254  8 Pt 2.76-2.78, 2 Ru 2.77, 2 Cu 2.77
Pt4 0.0000 0.5000 0.8755  8 Pt 2.75-2.76, 4 Cu 2.76
Pt5 0.5000 0.0000 0.1245  8 Pt 2.75-2.76, 4 Cu 2.76
Pt6 0.5000 0.0000 0.3746  8 Pt 2.76-2.78, 2 Ru 2.77, 2 Cu 2.77
Pt7 0.5000 0.0000 0.6254  8 Pt 2.76-2.78, 2 Ru 2.77, 2 Cu 2.77
Pt8 0.5000 0.0000 0.8755  8 Pt 2.75-2.76, 4 Cu 2.76
Pt9 0.5000 0.5000 0.0000  8 Pt 2.76, 4 Cu 2.76
Pt10 0.5000 0.5000 0.2485  8 Pt 2.75-2.78, 4 Cu 2.76
Pt11 0.5000 0.5000 0.5000  4 Ru 2.76, 8 Pt 2.77
Pt12 0.5000 0.5000 0.7515  8 Pt 2.75-2.78, 4 Cu 2.76